Entry 1:
Below is a geometry-optimized LiCd3 structure, with properties calculated at the PBE-GGA level.

Lattice parameters (Å, degrees): 4.7954 3.2444 5.3154 90.00 90.00 90.00
Sites, in units of the cell vectors:
Li (0.5000, 0.0000, 0.6603)
Cd (0.0000, 0.0000, 0.9894)
Cd (0.0000, 0.5000, 0.5096)
Cd (0.5000, 0.5000, 0.1740)

Values from the calculation:
Space-group type = No. 25
Formation energy from the elements = -142 meV/atom
Crystal system = orthorhombic

Entry 2:
Below is a geometry-optimized Li2Cd13 structure, with properties calculated at the PBE-GGA level.

Lattice parameters (Å, degrees): 8.1984 8.1984 8.0627 59.44 59.44 60.00
Sites, in units of the cell vectors:
Li (0.2327, 0.2327, 0.3019)
Li (0.7673, 0.7673, 0.6981)
Cd (0.5000, 0.5000, 0.5000)
Cd (0.6055, 0.2440, 0.9066)
Cd (0.2440, 0.2440, 0.9066)
Cd (0.2440, 0.6055, 0.9066)
Cd (0.7560, 0.3945, 0.0934)
Cd (0.3945, 0.7560, 0.0934)
Cd (0.7560, 0.7560, 0.0934)
Cd (0.6535, 0.0191, 0.3082)
Cd (0.0191, 0.0191, 0.3082)
Cd (0.0191, 0.6535, 0.3082)
Cd (0.9809, 0.3465, 0.6918)
Cd (0.3465, 0.9809, 0.6918)
Cd (0.9809, 0.9809, 0.6918)

Values from the calculation:
Energy relative to the lowest polymorph listed for this composition = 102 meV per atom
Space-group type = No. 166
Formation energy from the elements = 29 meV/atom
Crystal system = trigonal

Entry 3:
Below is a geometry-optimized Li5Cd structure, with properties calculated at the PBE-GGA level.

Lattice parameters (Å, degrees): 5.4217 5.4217 5.4217 60.00 60.00 60.00
Sites, in units of the cell vectors:
Cd (0.0000, 0.0000, 0.0000)
Li (0.7500, 0.7500, 0.7500)
Li (0.3741, 0.3741, 0.8778)
Li (0.3741, 0.3741, 0.3741)
Li (0.8778, 0.3741, 0.3741)
Li (0.3741, 0.8778, 0.3741)

Values from the calculation:
Space-group type = No. 216
Formation energy from the elements = -32 meV/atom
Crystal system = cubic

Entry 4:
Below is a geometry-optimized LiCd2 structure, with properties calculated at the PBE-GGA level.

Lattice parameters (Å, degrees): 4.8228 4.8228 2.9520 90.00 90.00 120.00
Sites, in units of the cell vectors:
Li (0.0000, 0.0000, 0.0000)
Cd (0.3333, 0.6667, 0.3293)
Cd (0.6667, 0.3333, 0.6707)

Values from the calculation:
Space-group type = No. 164
Formation energy from the elements = -184 meV/atom
Crystal system = trigonal

Entry 5:
Below is a geometry-optimized Li3Cd structure, with properties calculated at the PBE-GGA level.

Lattice parameters (Å, degrees): 5.7382 5.7382 4.5604 90.00 90.00 79.47
Sites, in units of the cell vectors:
Cd (0.3496, 0.6504, 0.2500)
Cd (0.6504, 0.3496, 0.7500)
Li (0.1061, 0.8939, 0.7500)
Li (0.8939, 0.1061, 0.2500)
Li (0.1439, 0.3975, 0.7500)
Li (0.8561, 0.6025, 0.2500)
Li (0.6025, 0.8561, 0.7500)
Li (0.3975, 0.1439, 0.2500)

Values from the calculation:
Space-group type = No. 63
Formation energy from the elements = -161 meV/atom
Crystal system = orthorhombic

Entry 6:
Below is a geometry-optimized Li3Cd7 structure, with properties calculated at the PBE-GGA level.

Lattice parameters (Å, degrees): 5.6563 9.2225 9.2225 120.00 90.00 90.00
Sites, in units of the cell vectors:
Li (0.8925, 0.2095, 0.4189)
Li (0.8925, 0.2095, 0.7905)
Li (0.8925, 0.5811, 0.7905)
Li (0.3925, 0.7905, 0.5811)
Li (0.3925, 0.7905, 0.2095)
Li (0.3925, 0.4189, 0.2095)
Cd (0.0141, 0.6667, 0.3333)
Cd (0.5141, 0.3333, 0.6667)
Cd (0.8688, 0.8859, 0.7719)
Cd (0.8688, 0.8859, 0.1141)
Cd (0.8688, 0.2281, 0.1141)
Cd (0.3688, 0.1141, 0.2281)
Cd (0.3688, 0.1141, 0.8859)
Cd (0.3688, 0.7719, 0.8859)
Cd (0.2033, 0.4811, 0.9622)
Cd (0.2033, 0.4811, 0.5189)
Cd (0.2033, 0.0378, 0.5189)
Cd (0.7033, 0.5189, 0.0378)
Cd (0.7033, 0.5189, 0.4811)
Cd (0.7033, 0.9622, 0.4811)

Values from the calculation:
Energy relative to the lowest polymorph listed for this composition = 77 meV per atom
Space-group type = No. 186
Formation energy from the elements = -103 meV/atom
Crystal system = hexagonal

Entry 7:
Below is a geometry-optimized LiCd2 structure, with properties calculated at the PBE-GGA level.

Lattice parameters (Å, degrees): 3.1163 3.1163 7.3292 90.00 90.00 120.00
Sites, in units of the cell vectors:
Li (0.0000, 0.0000, 0.0000)
Cd (0.6667, 0.3333, 0.6801)
Cd (0.3333, 0.6667, 0.3199)

Values from the calculation:
Space-group type = No. 164
Formation energy from the elements = -133 meV/atom
Crystal system = trigonal

Entry 8:
Below is a geometry-optimized Li12Cd structure, with properties calculated at the PBE-GGA level.

Lattice parameters (Å, degrees): 7.3527 7.3527 7.3527 90.00 90.00 90.00
Sites, in units of the cell vectors:
Li (0.2520, 0.0000, 0.5000)
Li (0.7480, 0.0000, 0.5000)
Li (0.0000, 0.5000, 0.2520)
Li (0.0000, 0.5000, 0.7480)
Li (0.5000, 0.2520, 0.0000)
Li (0.5000, 0.7480, 0.0000)
Li (0.0000, 0.7480, 0.5000)
Li (0.0000, 0.2520, 0.5000)
Li (0.7480, 0.5000, 0.0000)
Li (0.2520, 0.5000, 0.0000)
Li (0.5000, 0.0000, 0.7480)
Li (0.5000, 0.0000, 0.2520)
Cd (0.5000, 0.5000, 0.5000)

Values from the calculation:
Energy relative to the lowest polymorph listed for this composition = 47 meV per atom
Space-group type = No. 221
Formation energy from the elements = 542 meV/atom
Crystal system = cubic

Entry 9:
Below is a geometry-optimized Li3Cd structure, with properties calculated at the PBE-GGA level.

Lattice parameters (Å, degrees): 3.0026 4.1620 6.0397 90.00 90.00 90.00
Sites, in units of the cell vectors:
Li (0.5000, 0.5000, 0.7610)
Li (0.0000, 0.0000, 0.5000)
Li (0.5000, 0.5000, 0.2390)
Cd (0.0000, 0.0000, 0.0000)

Values from the calculation:
Space-group type = No. 47
Formation energy from the elements = -145 meV/atom
Crystal system = orthorhombic

Entry 10:
Below is a geometry-optimized LiCd2 structure, with properties calculated at the PBE-GGA level.

Lattice parameters (Å, degrees): 4.6243 4.6243 3.1363 90.00 90.00 90.00
Sites, in units of the cell vectors:
Li (0.5000, 0.5000, 0.5000)
Cd (0.0000, 0.5000, 0.0000)
Cd (0.5000, 0.0000, 0.0000)

Values from the calculation:
Space-group type = No. 123
Formation energy from the elements = -66 meV/atom
Crystal system = tetragonal

Entry 11:
Below is a geometry-optimized Li4Cd5 structure, with properties calculated at the PBE-GGA level.

Lattice parameters (Å, degrees): 4.8166 4.7844 10.1155 60.26 75.09 58.97
Sites, in units of the cell vectors:
Li (0.6663, 0.8892, 0.7771)
Li (0.3337, 0.1108, 0.2229)
Li (0.0007, 0.3351, 0.6638)
Li (0.9993, 0.6649, 0.3362)
Cd (0.3341, 0.7786, 0.5538)
Cd (0.6659, 0.2214, 0.4462)
Cd (0.3328, 0.4504, 0.8833)
Cd (0.6672, 0.5496, 0.1167)
Cd (0.0000, 0.0000, 0.0000)

Values from the calculation:
Energy relative to the lowest polymorph listed for this composition = 0 meV per atom
Space-group type = No. 2
Formation energy from the elements = -239 meV/atom
Crystal system = triclinic

Entry 12:
Below is a geometry-optimized Li2Cd5 structure, with properties calculated at the PBE-GGA level.

Lattice parameters (Å, degrees): 6.5234 7.0391 8.0305 115.99 113.96 90.00
Sites, in units of the cell vectors:
Li (0.3853, 0.6710, 0.7706)
Li (0.6147, 0.3290, 0.2294)
Li (0.8853, 0.0997, 0.7706)
Li (0.1147, 0.9003, 0.2294)
Cd (0.1114, 0.3206, 0.2228)
Cd (0.8886, 0.6794, 0.7772)
Cd (0.6114, 0.9022, 0.2228)
Cd (0.3886, 0.0978, 0.7772)
Cd (0.4864, 0.7364, 0.4728)
Cd (0.0136, 0.2636, 0.5272)
Cd (0.5136, 0.2636, 0.5272)
Cd (0.9864, 0.7364, 0.4728)
Cd (0.7500, 0.5000, 0.0000)
Cd (0.2500, 0.5000, 0.0000)

Values from the calculation:
Energy relative to the lowest polymorph listed for this composition = 41 meV per atom
Space-group type = No. 72
Formation energy from the elements = -138 meV/atom
Crystal system = orthorhombic

Entry 13:
Below is a geometry-optimized Li2Cd structure, with properties calculated at the PBE-GGA level.

Lattice parameters (Å, degrees): 8.2465 8.2465 2.9308 90.00 90.00 120.00
Sites, in units of the cell vectors:
Cd (0.3333, 0.6667, 0.0000)
Cd (0.6667, 0.3333, 0.0000)
Cd (0.0000, 0.0000, 0.5000)
Li (0.3054, 0.0000, 0.0000)
Li (0.0000, 0.3054, 0.0000)
Li (0.6946, 0.6946, 0.0000)
Li (0.6394, 0.0000, 0.5000)
Li (0.0000, 0.6394, 0.5000)
Li (0.3606, 0.3606, 0.5000)

Values from the calculation:
Space-group type = No. 189
Formation energy from the elements = -174 meV/atom
Crystal system = hexagonal

Entry 14:
Below is a geometry-optimized LiCd3 structure, with properties calculated at the PBE-GGA level.

Lattice parameters (Å, degrees): 5.1929 5.1929 5.4465 80.80 80.80 35.13
Sites, in units of the cell vectors:
Li (0.0000, 0.0000, 0.0000)
Cd (0.5000, 0.5000, 0.5000)
Cd (0.7456, 0.7456, 0.7603)
Cd (0.2544, 0.2544, 0.2397)

Values from the calculation:
Space-group type = No. 12
Formation energy from the elements = -127 meV/atom
Crystal system = monoclinic

Entry 15:
Below is a geometry-optimized Li12Cd structure, with properties calculated at the PBE-GGA level.

Lattice parameters (Å, degrees): 7.9169 7.9169 7.9169 60.00 60.00 60.00
Sites, in units of the cell vectors:
Li (0.8424, 0.5000, 0.5000)
Li (0.1576, 0.5000, 0.5000)
Li (0.1576, 0.8424, 0.5000)
Li (0.5000, 0.5000, 0.1576)
Li (0.5000, 0.1576, 0.8424)
Li (0.5000, 0.8424, 0.1576)
Li (0.1576, 0.5000, 0.8424)
Li (0.5000, 0.1576, 0.5000)
Li (0.5000, 0.5000, 0.8424)
Li (0.8424, 0.5000, 0.1576)
Li (0.5000, 0.8424, 0.5000)
Li (0.8424, 0.1576, 0.5000)
Cd (0.0000, 0.0000, 0.0000)

Values from the calculation:
Energy relative to the lowest polymorph listed for this composition = 0 meV per atom
Space-group type = No. 225
Formation energy from the elements = 494 meV/atom
Crystal system = cubic

Entry 16:
Below is a geometry-optimized Li3Cd structure, with properties calculated at the PBE-GGA level.

Lattice parameters (Å, degrees): 3.0987 3.0987 9.6994 90.00 90.00 120.00
Sites, in units of the cell vectors:
Cd (0.0000, 0.0000, 0.0000)
Li (0.0000, 0.0000, 0.5000)
Li (0.6667, 0.3333, 0.2448)
Li (0.6667, 0.3333, 0.7552)

Values from the calculation:
Space-group type = No. 187
Formation energy from the elements = -68 meV/atom
Crystal system = hexagonal

Entry 17:
Below is a geometry-optimized Li3Cd structure, with properties calculated at the PBE-GGA level.

Lattice parameters (Å, degrees): 4.7586 2.9503 5.3752 82.13 90.00 90.00
Sites, in units of the cell vectors:
Li (0.5000, 0.7074, 0.7585)
Li (0.0000, 0.5000, 0.5000)
Li (0.5000, 0.2926, 0.2415)
Cd (0.0000, 0.0000, 0.0000)

Values from the calculation:
Space-group type = No. 10
Formation energy from the elements = -135 meV/atom
Crystal system = monoclinic

Entry 18:
Below is a geometry-optimized Li4Cd5 structure, with properties calculated at the PBE-GGA level.

Lattice parameters (Å, degrees): 3.9619 6.9019 6.9019 85.12 73.23 73.23
Sites, in units of the cell vectors:
Li (0.3346, 0.6664, 0.6649)
Li (0.3346, 0.9982, 0.3331)
Li (0.6654, 0.6669, 0.0018)
Li (0.6654, 0.3351, 0.3336)
Cd (0.0000, 0.9911, 0.0089)
Cd (0.0000, 0.3423, 0.6577)
Cd (0.0000, 0.6667, 0.3333)
Cd (0.3214, 0.3429, 0.0095)
Cd (0.6786, 0.9905, 0.6571)

Values from the calculation:
Energy relative to the lowest polymorph listed for this composition = 24 meV per atom
Space-group type = No. 12
Formation energy from the elements = -214 meV/atom
Crystal system = monoclinic

Entry 19:
Below is a geometry-optimized LiCd3 structure, with properties calculated at the PBE-GGA level.

Lattice parameters (Å, degrees): 4.8296 4.8296 4.8296 118.46 118.46 92.69
Sites, in units of the cell vectors:
Li (0.0000, 0.0000, 0.0000)
Cd (0.2500, 0.7500, 0.5000)
Cd (0.5000, 0.5000, 0.0000)
Cd (0.7500, 0.2500, 0.5000)

Values from the calculation:
Space-group type = No. 139
Formation energy from the elements = -168 meV/atom
Crystal system = tetragonal

Entry 20:
Below is a geometry-optimized Li5Cd structure, with properties calculated at the PBE-GGA level.

Lattice parameters (Å, degrees): 5.3468 5.3468 4.8549 90.00 90.00 120.00
Sites, in units of the cell vectors:
Li (0.3333, 0.6667, 0.0000)
Li (0.6667, 0.3333, 0.0000)
Li (0.5000, 0.0000, 0.5000)
Li (0.0000, 0.5000, 0.5000)
Li (0.5000, 0.5000, 0.5000)
Cd (0.0000, 0.0000, 0.0000)

Values from the calculation:
Space-group type = No. 191
Formation energy from the elements = 51 meV/atom
Crystal system = hexagonal

Final energy across the listed records, respectively: -5.2 -15.3 -10.7 -4.3 -14.6 -26.4 -4.1 -16.8 -7.2 -3.9 -14.4 -18.7 -15.8 -5.2 -17.5 -6.9 -7.2 -14.2 -5.3 -10.2 eV per cell.